No. 1
Computed, not measured: an optimized crystal structure of LaPr5Hg4 at the PBE-GGA level of DFT.

The structure in CIF format:
```
data_LaPr5Hg4
_symmetry_space_group_name_H-M 'P 4/m m m'
_symmetry_Int_Tables_number 123
_symmetry_space_group_name_Hall '-P 4 2'
_cell_length_a 3.852
_cell_length_b 3.852
_cell_length_c 20.476
_cell_angle_alpha 90.00
_cell_angle_beta 90.00
_cell_angle_gamma 90.00
loop_
_atom_site_label
_atom_site_type_symbol
_atom_site_fract_x
_atom_site_fract_y
_atom_site_fract_z
La1 La 0.000 0.000 0.000
Pr1 Pr 0.500 0.500 0.122
Pr2 Pr 0.500 0.500 0.311
Pr3 Pr 0.500 0.500 0.500
Hg1 Hg 0.000 0.000 0.214
Hg2 Hg 0.000 0.000 0.405
```

No. 2
Computed, not measured: an optimized crystal structure of La2Pr2Hg3 at the PBE-GGA level of DFT.

The structure in CIF format:
```
data_La2Pr2Hg3
_symmetry_space_group_name_H-M 'C 1 2/m 1'
_symmetry_Int_Tables_number 12
_symmetry_space_group_name_Hall '-C 2y'
_cell_length_a 9.388
_cell_length_b 5.429
_cell_length_c 9.291
_cell_angle_alpha 90.00
_cell_angle_beta 109.54
_cell_angle_gamma 90.00
loop_
_atom_site_label
_atom_site_type_symbol
_atom_site_fract_x
_atom_site_fract_y
_atom_site_fract_z
La1 La 0.128 0.000 0.385
Pr1 Pr 0.121 0.500 0.863
Hg1 Hg 0.000 0.000 0.000
Hg2 Hg 0.248 0.500 0.244
```

No. 3
Computed, not measured: an optimized crystal structure of La5PrHg4 at the PBE-GGA level of DFT.

The structure in CIF format:
```
data_La5PrHg4
_symmetry_space_group_name_H-M 'P 4/m m m'
_symmetry_Int_Tables_number 123
_symmetry_space_group_name_Hall '-P 4 2'
_cell_length_a 3.881
_cell_length_b 3.881
_cell_length_c 20.790
_cell_angle_alpha 90.00
_cell_angle_beta 90.00
_cell_angle_gamma 90.00
loop_
_atom_site_label
_atom_site_type_symbol
_atom_site_fract_x
_atom_site_fract_y
_atom_site_fract_z
La1 La 0.000 0.000 0.000
La2 La 0.000 0.000 0.189
La3 La 0.000 0.000 0.379
Pr1 Pr 0.500 0.500 0.500
Hg1 Hg 0.500 0.500 0.094
Hg2 Hg 0.500 0.500 0.287
```

No. 4
Computed, not measured: an optimized crystal structure of La3Pr2Hg4 at the PBE-GGA level of DFT.

Summary:
As for the relative energy among the computed polymorphs: 84 meV per atom.

The structure in CIF format:
```
data_La3Pr2Hg4
_symmetry_space_group_name_H-M 'C m c e'
_symmetry_Int_Tables_number 64
_symmetry_space_group_name_Hall '-C 2ac 2'
_cell_length_a 7.169
_cell_length_b 18.915
_cell_length_c 8.483
_cell_angle_alpha 90.00
_cell_angle_beta 90.00
_cell_angle_gamma 90.00
loop_
_atom_site_label
_atom_site_type_symbol
_atom_site_fract_x
_atom_site_fract_y
_atom_site_fract_z
La1 La 0.000 0.000 0.000
La2 La 0.250 0.242 0.250
Pr1 Pr 0.000 0.093 0.581
Hg1 Hg 0.000 0.163 0.973
Hg2 Hg 0.250 0.070 0.250
```

No. 5
Computed, not measured: an optimized crystal structure of La4PrHg2 at the PBE-GGA level of DFT.

Summary:
As for the relative energy among the computed polymorphs: 108 meV per atom.

The structure in CIF format:
```
data_La4PrHg2
_symmetry_space_group_name_H-M 'I -4 2 d'
_symmetry_Int_Tables_number 122
_symmetry_space_group_name_Hall 'I -4 2bw'
_cell_length_a 9.658
_cell_length_b 9.658
_cell_length_c 9.903
_cell_angle_alpha 90.00
_cell_angle_beta 90.00
_cell_angle_gamma 90.00
loop_
_atom_site_label
_atom_site_type_symbol
_atom_site_fract_x
_atom_site_fract_y
_atom_site_fract_z
La1 La 0.079 0.166 0.311
Pr1 Pr 0.000 0.000 0.000
Hg1 Hg 0.146 0.250 0.625
```

No. 6
Computed, not measured: an optimized crystal structure of LaPr6Hg2 at the PBE-GGA level of DFT.

Summary:
As for the relative energy among the computed polymorphs: 65 meV per atom.

The structure in CIF format:
```
data_LaPr6Hg2
_symmetry_space_group_name_H-M 'C 1 2/c 1'
_symmetry_Int_Tables_number 15
_symmetry_space_group_name_Hall '-C 2yc'
_cell_length_a 15.969
_cell_length_b 11.741
_cell_length_c 6.298
_cell_angle_alpha 90.00
_cell_angle_beta 95.97
_cell_angle_gamma 90.00
loop_
_atom_site_label
_atom_site_type_symbol
_atom_site_fract_x
_atom_site_fract_y
_atom_site_fract_z
La1 La 0.000 0.107 0.250
Pr1 Pr 0.059 0.383 0.505
Pr2 Pr 0.118 0.152 0.808
Pr3 Pr 0.229 0.123 0.330
Hg1 Hg 0.165 0.372 0.098
```

No. 7
Computed, not measured: an optimized crystal structure of La9Pr4Hg11 at the PBE-GGA level of DFT.

The structure in CIF format:
```
data_La9Pr4Hg11
_symmetry_space_group_name_H-M 'C m m m'
_symmetry_Int_Tables_number 65
_symmetry_space_group_name_Hall '-C 2 2'
_cell_length_a 16.231
_cell_length_b 23.591
_cell_length_c 3.732
_cell_angle_alpha 90.00
_cell_angle_beta 90.00
_cell_angle_gamma 90.00
loop_
_atom_site_label
_atom_site_type_symbol
_atom_site_fract_x
_atom_site_fract_y
_atom_site_fract_z
La1 La 0.000 0.000 0.000
La2 La 0.115 0.235 0.000
La3 La 0.118 0.412 0.000
Pr1 Pr 0.157 0.090 0.000
Hg1 Hg 0.000 0.132 0.500
Hg2 Hg 0.000 0.325 0.500
Hg3 Hg 0.000 0.500 0.500
Hg4 Hg 0.232 0.320 0.500
Hg5 Hg 0.241 0.500 0.500
```

No. 8
Computed, not measured: an optimized crystal structure of La5Pr12Hg2 at the PBE-GGA level of DFT.

The structure in CIF format:
```
data_La5Pr12Hg2
_symmetry_space_group_name_H-M 'C 1 2/m 1'
_symmetry_Int_Tables_number 12
_symmetry_space_group_name_Hall '-C 2y'
_cell_length_a 15.816
_cell_length_b 9.520
_cell_length_c 8.861
_cell_angle_alpha 90.00
_cell_angle_beta 94.01
_cell_angle_gamma 90.00
loop_
_atom_site_label
_atom_site_type_symbol
_atom_site_fract_x
_atom_site_fract_y
_atom_site_fract_z
La1 La 0.000 0.000 0.000
La2 La 0.187 0.500 0.505
La3 La 0.234 0.000 0.083
Pr1 Pr 0.056 0.500 0.810
Pr2 Pr 0.079 0.000 0.385
Pr3 Pr 0.122 0.308 0.159
Pr4 Pr 0.146 0.183 0.738
Hg1 Hg 0.000 0.313 0.500
```

No. 9
Computed, not measured: an optimized crystal structure of LaPrHgPt at the PBE-GGA level of DFT.

The structure in CIF format:
```
data_LaPrHgPt
_symmetry_space_group_name_H-M 'F -4 3 m'
_symmetry_Int_Tables_number 216
_symmetry_space_group_name_Hall 'F -4 2 3'
_cell_length_a 7.524
_cell_length_b 7.524
_cell_length_c 7.524
_cell_angle_alpha 90.00
_cell_angle_beta 90.00
_cell_angle_gamma 90.00
loop_
_atom_site_label
_atom_site_type_symbol
_atom_site_fract_x
_atom_site_fract_y
_atom_site_fract_z
La1 La 0.000 0.000 0.000
Pr1 Pr 0.000 0.000 0.500
Hg1 Hg 0.250 0.250 0.750
Pt1 Pt 0.250 0.250 0.250
```

No. 10
Computed, not measured: an optimized crystal structure of LaPrHgRh at the PBE-GGA level of DFT.

Summary:
As for the relative energy among the computed polymorphs: 75 meV per atom.

The structure in CIF format:
```
data_LaPrHgRh
_symmetry_space_group_name_H-M 'F -4 3 m'
_symmetry_Int_Tables_number 216
_symmetry_space_group_name_Hall 'F -4 2 3'
_cell_length_a 7.474
_cell_length_b 7.474
_cell_length_c 7.474
_cell_angle_alpha 90.00
_cell_angle_beta 90.00
_cell_angle_gamma 90.00
loop_
_atom_site_label
_atom_site_type_symbol
_atom_site_fract_x
_atom_site_fract_y
_atom_site_fract_z
La1 La 0.000 0.000 0.000
Pr1 Pr 0.000 0.000 0.500
Hg1 Hg 0.250 0.250 0.750
Rh1 Rh 0.250 0.250 0.250
```

No. 11
Computed, not measured: an optimized crystal structure of LaPrHgRh at the PBE-GGA level of DFT.

Summary:
As for the relative energy among the computed polymorphs: 0 meV per atom.

The structure in CIF format:
```
data_LaPrHgRh
_symmetry_space_group_name_H-M 'R 3 m'
_symmetry_Int_Tables_number 160
_symmetry_space_group_name_Hall 'R 3 -2"'
_cell_length_a 4.2028
_cell_length_b 4.2028
_cell_length_c 23.2740
_cell_angle_alpha 90.00
_cell_angle_beta 90.00
_cell_angle_gamma 120.00
loop_
_atom_site_label
_atom_site_type_symbol
_atom_site_fract_x
_atom_site_fract_y
_atom_site_fract_z
La1 La 0.0000 0.0000 0.0000
Pr1 Pr 0.0000 0.0000 0.8010
Hg1 Hg 0.0000 0.0000 0.5656
Rh1 Rh 0.0000 0.0000 0.3999
```

No. 12
Computed, not measured: an optimized crystal structure of LaPrHgRu at the PBE-GGA level of DFT.

The structure in CIF format:
```
data_LaPrHgRu
_symmetry_space_group_name_H-M 'F -4 3 m'
_symmetry_Int_Tables_number 216
_symmetry_space_group_name_Hall 'F -4 2 3'
_cell_length_a 7.432
_cell_length_b 7.432
_cell_length_c 7.432
_cell_angle_alpha 90.00
_cell_angle_beta 90.00
_cell_angle_gamma 90.00
loop_
_atom_site_label
_atom_site_type_symbol
_atom_site_fract_x
_atom_site_fract_y
_atom_site_fract_z
La1 La 0.000 0.000 0.000
Pr1 Pr 0.000 0.000 0.500
Hg1 Hg 0.250 0.250 0.250
Ru1 Ru 0.250 0.250 0.750
```

Formation energy in eV/atom, matching the order above: -0.3759; -0.3341; -0.3961; -0.3203; -0.1345; -0.1479; -0.4130; -0.0165; -0.7124; -0.5000; -0.5748; -0.2339